{
  "formula": "P2RuRhCl",
  "functional": "meta-GGA SCAN",
  "state": "PBEsol geometry",
  "cell": [[4.452, 0.000, 0.000], [0.000, 4.452, 0.000], [0.000, 0.000, 4.703]],
  "species": ["P", "P", "Ru", "Rh", "Cl"],
  "frac_coords": [[0.000, 0.500, 0.000], [0.500, 0.000, 0.000], [0.000, 0.000, 0.500], [0.500, 0.500, 0.000], [0.500, 0.500, 0.500]],
  "vol_a3_per_fu": 93,
  "dos_at_fermi_per_ev_cell": 1.55,
  "mass_density_g_cm3": 5.4,
  "formation_energy_uncorrected_ev_per_fu": 4.5,
  "sg": "P4/mmm, No. 123"
}